(1)
# Er3PuSe6 | Alexandria | GGA-PBE | optimized geometry
data_Er3PuSe6
_space_group_name_H-M_alt 'P 1 21/m 1'
_space_group_IT_number 11
_cell_length_a 11.5491
_cell_length_b 4.0946
_cell_length_c 11.7502
_cell_angle_alpha 90.00
_cell_angle_beta 109.13
_cell_angle_gamma 90.00
loop_
_space_group_symop_operation_xyz
'x,y,z'
'-x,-y,-z'
'-x,y+1/2,-z'
'x,-y+1/2,z'
loop_
_atom_site_label
_atom_site_fract_x
_atom_site_fract_y
_atom_site_fract_z
Er1 0.0654 0.2500 0.1659
Er2 0.1800 0.7500 0.5008
Er3 0.3424 0.2500 0.9173
Pu1 0.4539 0.2500 0.3097
Se1 0.0197 0.2500 0.3848
Se2 0.1050 0.2500 0.9376
Se3 0.2424 0.7500 0.2753
Se4 0.3045 0.7500 0.7502
Se5 0.3833 0.2500 0.5375
Se6 0.4177 0.7500 0.0983
# Mass density: 7715 kg/m³
# E: -66.43 eV per formula unit
# ΔE_f (raw): -1.75 eV/atom
# DOS at the Fermi energy: 22.18 states/eV per cell



(2)
# FeNiAg | Alexandria | GGA-PBE | optimized geometry
data_FeNiAg
_space_group_name_H-M_alt 'P 3 m 1'
_space_group_IT_number 156
_cell_length_a 2.6920
_cell_length_b 2.6920
_cell_length_c 6.5627
_cell_angle_alpha 90.00
_cell_angle_beta 90.00
_cell_angle_gamma 120.00
loop_
_space_group_symop_operation_xyz
'x,y,z'
'-y,x-y,z'
'-x+y,-x,z'
'-y,-x,z'
'-x+y,y,z'
'x,x-y,z'
loop_
_atom_site_label
_atom_site_fract_x
_atom_site_fract_y
_atom_site_fract_z
Fe1 0.0000 0.0000 0.0000
Ni1 0.6667 0.3333 0.2903
Ag1 0.3333 0.6667 0.6405
# Energy above the lowest structure with this stoichiometry: 35 meV/atom
# Mass density: 8966 kg/m³
# E: -16.36 eV per formula unit
# Energy of formation: 0.73 eV/f.u.
# DOS at the Fermi energy: 2.62 states/eV per cell